[1]
Computed, not measured: CeHoAs after structural relaxation at the PBE level of DFT.

Summary:
As for the energy relative to the elements: -78 kJ/mol of atoms. The value obtained for the magnetic moment is 1.25 μB/cell. For the raw total energy, the calculation gives -5.860 eV/atom.

Geometry as POSCAR:
```
CeHoAs
1.0
-2.169 3.870 -2.616
-2.958 -3.372 2.534
0.260 3.499 4.960
As Ho Ce
2 2 2
Direct
0.667 0.333 0.250 As
0.333 0.667 0.750 As
0.333 0.666 0.250 Ho
0.667 0.334 0.750 Ho
0.000 0.000 0.500 Ce
0.000 0.000 0.000 Ce
```

[2]
Computed, not measured: CeHo2As after structural relaxation at the PBE level of DFT.

Summary:
As for the energy relative to the elements: -51 kJ/mol of atoms. The value obtained for the magnetic moment is 1.62 μB/cell. For the raw total energy, the calculation gives -5.461 eV/atom.

Geometry as POSCAR:
```
CeHo2As
1.0
-2.130 3.136 -0.429
-0.694 1.372 -3.491
-8.689 -3.836 -1.865
Ho Ce As
2 1 1
Direct
0.272 0.272 0.185 Ho
0.728 0.728 0.815 Ho
0.500 0.500 0.500 Ce
0.000 0.000 0.000 As
```

[3]
Computed, not measured: CeHoAs2 after structural relaxation at the PBE level of DFT.

Summary:
As for the energy relative to the elements: -143 kJ/mol of atoms. The value obtained for the magnetic moment is 0.64 μB/cell. For the raw total energy, the calculation gives -6.430 eV/atom.

Geometry as POSCAR:
```
CeHoAs2
1.0
4.161 -0.001 -0.004
-2.080 3.604 0.004
-2.075 -1.204 6.780
Ce Ho As
1 1 2
Direct
0.000 0.500 0.500 Ce
0.000 0.000 0.000 Ho
0.496 0.748 0.244 As
0.504 0.252 0.756 As
```

[4]
Computed, not measured: Ce6HoAs8 after structural relaxation at the PBE level of DFT.

Summary:
As for the energy relative to the elements: -119 kJ/mol of atoms. The value obtained for the magnetic moment is 2.85 μB/cell. For the raw total energy, the calculation gives -6.388 eV/atom.

Geometry as POSCAR:
```
Ce6HoAs8
1.0
0.737 -8.342 -0.062
7.342 -3.541 -1.921
4.473 -3.852 5.941
As Ce Ho
8 6 1
Direct
0.247 0.753 0.247 As
0.753 0.753 0.247 As
0.753 0.247 0.247 As
0.753 0.247 0.753 As
0.250 0.250 0.250 As
0.247 0.247 0.753 As
0.750 0.750 0.750 As
0.247 0.753 0.753 As
0.500 0.000 0.500 Ce
0.000 0.500 0.500 Ce
0.000 0.500 0.000 Ce
0.500 0.500 0.000 Ce
0.500 0.000 0.000 Ce
0.000 0.000 0.500 Ce
0.000 0.000 0.000 Ho
```

[5]
Computed, not measured: CeHo2As3 after structural relaxation at the PBE level of DFT.

Summary:
As for the energy relative to the elements: -144 kJ/mol of atoms. The value obtained for the magnetic moment is 0.61 μB/cell. For the raw total energy, the calculation gives -6.332 eV/atom.

Geometry as POSCAR:
```
CeHo2As3
1.0
3.984 0.000 -1.129
-0.613 5.405 -2.163
-0.125 -0.322 7.153
As Ho Ce
3 2 1
Direct
0.331 0.331 0.662 As
0.669 0.669 0.338 As
0.000 0.000 0.000 As
0.666 0.166 0.333 Ho
0.334 0.834 0.667 Ho
0.000 0.500 0.000 Ce
```

[6]
Computed, not measured: Ce2HoAs after structural relaxation at the PBE level of DFT.

Summary:
As for the energy relative to the elements: -27 kJ/mol of atoms. The value obtained for the magnetic moment is 2.25 μB/cell. For the raw total energy, the calculation gives -5.549 eV/atom.

Geometry as POSCAR:
```
Ce2HoAs
1.0
3.767 0.000 0.000
1.884 3.262 0.000
1.884 1.087 10.128
As Ce Ho
1 2 1
Direct
0.500 0.500 0.500 As
0.105 0.105 0.684 Ce
0.895 0.895 0.316 Ce
0.000 0.000 0.000 Ho
```

[7]
Computed, not measured: Ce4HoAs6 after structural relaxation at the PBE level of DFT.

Summary:
As for the energy relative to the elements: -117 kJ/mol of atoms. The value obtained for the magnetic moment is 2.67 μB/cell. For the raw total energy, the calculation gives -6.325 eV/atom.

Geometry as POSCAR:
```
Ce4HoAs6
1.0
-0.375 4.270 -6.992
-7.340 -3.213 -1.751
-3.507 6.157 4.130
As Ce Ho
12 8 2
Direct
0.177 0.416 0.434 As
0.934 0.084 0.677 As
0.823 0.584 0.566 As
0.066 0.916 0.323 As
0.566 0.177 0.584 As
0.434 0.823 0.416 As
0.416 0.566 0.823 As
0.584 0.434 0.177 As
0.323 0.934 0.916 As
0.084 0.323 0.066 As
0.677 0.066 0.084 As
0.916 0.677 0.934 As
0.750 0.750 0.250 Ce
0.750 0.368 0.868 Ce
0.368 0.132 0.250 Ce
0.250 0.250 0.750 Ce
0.632 0.868 0.750 Ce
0.250 0.632 0.132 Ce
0.132 0.750 0.632 Ce
0.868 0.250 0.368 Ce
0.500 0.500 0.500 Ho
0.000 0.000 0.000 Ho
```

[8]
Computed, not measured: CeHo4As5 after structural relaxation at the PBE level of DFT.

Summary:
As for the energy relative to the elements: -146 kJ/mol of atoms. The value obtained for the magnetic moment is 0.46 μB/cell. For the raw total energy, the calculation gives -6.258 eV/atom.

Geometry as POSCAR:
```
CeHo4As5
1.0
-5.233 -0.948 2.388
-4.931 -2.312 -4.609
-0.920 -6.632 2.468
As Ho Ce
5 4 1
Direct
0.501 0.000 0.000 As
0.101 0.599 0.201 As
0.302 0.799 0.599 As
0.901 0.401 0.799 As
0.700 0.201 0.401 As
0.802 0.800 0.598 Ho
0.400 0.402 0.800 Ho
0.200 0.200 0.402 Ho
0.602 0.598 0.200 Ho
0.001 0.000 0.000 Ce
```

[9]
Computed, not measured: CeHoAs after structural relaxation at the PBE level of DFT.

Summary:
As for the energy relative to the elements: -66 kJ/mol of atoms. The value obtained for the magnetic moment is 1.36 μB/cell. For the raw total energy, the calculation gives -5.740 eV/atom.

Geometry as POSCAR:
```
CeHoAs
1.0
-3.148 -0.120 2.010
1.300 -2.969 1.859
3.210 4.914 1.847
Ce As Ho
1 1 1
Direct
0.262 0.262 0.523 Ce
0.607 0.607 0.213 As
0.982 0.982 0.963 Ho
```

[10]
Computed, not measured: CeHo2As after structural relaxation at the PBE level of DFT.

Summary:
As for the energy relative to the elements: -51 kJ/mol of atoms. The value obtained for the magnetic moment is 0.31 μB/cell. For the raw total energy, the calculation gives -5.460 eV/atom.

Geometry as POSCAR:
```
CeHo2As
1.0
-3.661 0.533 -0.012
-0.486 -3.301 1.597
0.441 3.187 6.719
Ho Ce As
2 1 1
Direct
0.000 0.000 0.208 Ho
0.000 0.000 0.792 Ho
0.500 0.500 0.500 Ce
0.500 0.500 0.000 As
```

[11]
Computed, not measured: Ce4HoAs5 after structural relaxation at the PBE level of DFT.

Summary:
As for the energy relative to the elements: -139 kJ/mol of atoms. The value obtained for the magnetic moment is 2.80 μB/cell. For the raw total energy, the calculation gives -6.596 eV/atom.

Geometry as POSCAR:
```
Ce4HoAs5
1.0
5.345 0.000 2.578
2.673 6.630 1.289
-0.208 0.000 7.261
As Ce Ho
5 4 1
Direct
0.902 0.396 0.802 As
0.704 0.198 0.396 As
0.501 0.000 0.000 As
0.100 0.604 0.198 As
0.298 0.802 0.604 As
0.201 0.201 0.399 Ce
0.402 0.399 0.799 Ce
0.801 0.799 0.601 Ce
0.600 0.601 0.201 Ce
0.001 0.000 0.000 Ho
```

[12]
Computed, not measured: CeHoAs2 after structural relaxation at the PBE level of DFT.

Summary:
As for the energy relative to the elements: -137 kJ/mol of atoms. The value obtained for the magnetic moment is 1.20 μB/cell. For the raw total energy, the calculation gives -6.372 eV/atom.

Geometry as POSCAR:
```
CeHoAs2
1.0
4.147 0.000 0.000
-2.074 3.592 0.000
0.000 0.000 13.614
Ce Ho As
2 2 4
Direct
0.000 0.000 0.000 Ce
0.000 0.000 0.500 Ce
0.667 0.333 0.250 Ho
0.333 0.667 0.750 Ho
0.667 0.333 0.875 As
0.667 0.333 0.625 As
0.333 0.667 0.375 As
0.333 0.667 0.125 As
```

[13]
Computed, not measured: CeHo5As6 after structural relaxation at the PBE level of DFT.

Summary:
As for the energy relative to the elements: -146 kJ/mol of atoms. The value obtained for the magnetic moment is 0.49 μB/cell. For the raw total energy, the calculation gives -6.241 eV/atom.

Geometry as POSCAR:
```
CeHo5As6
1.0
-6.052 2.510 2.814
0.581 -0.809 -7.060
-0.535 -6.845 1.942
As Ho Ce
6 5 1
Direct
0.916 0.581 0.748 As
0.581 0.916 0.748 As
0.748 0.748 0.250 As
0.419 0.084 0.252 As
0.084 0.419 0.252 As
0.252 0.252 0.750 As
0.667 0.333 0.000 Ho
0.500 0.500 0.500 Ho
0.166 0.834 0.500 Ho
0.834 0.166 0.500 Ho
0.333 0.667 0.000 Ho
0.000 0.000 0.000 Ce
```

[14]
Computed, not measured: CeHoAs2 after structural relaxation at the PBE level of DFT.

Summary:
As for the energy relative to the elements: -127 kJ/mol of atoms. The value obtained for the magnetic moment is 0.82 μB/cell. For the raw total energy, the calculation gives -6.265 eV/atom.

Geometry as POSCAR:
```
CeHoAs2
1.0
-1.586 -3.335 1.847
0.936 -0.822 3.936
-5.767 2.427 4.044
Ho As Ce
1 2 1
Direct
0.497 0.497 0.509 Ho
0.084 0.084 0.748 As
0.249 0.249 0.252 As
0.670 0.670 0.991 Ce
```

[15]
Computed, not measured: CeHoAs after structural relaxation at the PBE level of DFT.

Summary:
As for the energy relative to the elements: -52 kJ/mol of atoms. The value obtained for the magnetic moment is 1.77 μB/cell. For the raw total energy, the calculation gives -5.593 eV/atom.

Geometry as POSCAR:
```
CeHoAs
1.0
-2.057 -1.982 3.038
4.084 -0.624 2.358
-2.619 3.896 0.769
Ce Ho As
1 1 1
Direct
0.038 0.000 0.000 Ce
0.545 0.667 0.333 Ho
0.417 0.333 0.667 As
```

[16]
Computed, not measured: CeHo3As4 after structural relaxation at the PBE level of DFT.

Summary:
As for the energy relative to the elements: -144 kJ/mol of atoms. The value obtained for the magnetic moment is 0.75 μB/cell. For the raw total energy, the calculation gives -6.277 eV/atom.

Geometry as POSCAR:
```
CeHo3As4
1.0
-3.836 -4.331 -0.812
3.837 -2.754 -3.439
2.167 -2.791 4.653
As Ho Ce
4 3 1
Direct
0.000 0.500 0.000 As
0.500 0.000 0.000 As
0.500 0.500 0.500 As
0.000 0.000 0.500 As
0.000 0.500 0.500 Ho
0.500 0.500 0.000 Ho
0.500 0.000 0.500 Ho
0.000 0.000 0.000 Ce
```

[17]
Computed, not measured: La2CeHoAs4 after structural relaxation at the PBE level of DFT.

Summary:
As for the energy relative to the elements: -147 kJ/mol of atoms. The value obtained for the magnetic moment is 0.58 μB/cell. For the raw total energy, the calculation gives -6.389 eV/atom.

Geometry as POSCAR:
```
La2CeHoAs4
1.0
-2.069 1.244 3.520
-2.597 -6.847 0.892
6.454 0.666 3.560
As La Ce Ho
4 2 1 1
Direct
0.500 0.756 0.764 As
0.000 0.748 0.237 As
0.500 0.244 0.236 As
0.000 0.252 0.763 As
0.500 0.000 0.500 La
0.000 0.500 0.500 La
0.500 0.500 0.000 Ce
0.000 0.000 0.000 Ho
```

[18]
Computed, not measured: LaCe3Ho2As6 after structural relaxation at the PBE level of DFT.

Summary:
As for the energy relative to the elements: -142 kJ/mol of atoms. The value obtained for the magnetic moment is 1.97 μB/cell. For the raw total energy, the calculation gives -6.456 eV/atom.

Geometry as POSCAR:
```
LaCe3Ho2As6
1.0
7.290 -0.001 -0.001
-3.644 6.314 -0.001
-1.217 -2.107 6.863
As Ce Ho La
6 3 2 1
Direct
0.741 0.741 0.248 As
0.575 0.916 0.750 As
0.425 0.084 0.250 As
0.916 0.575 0.750 As
0.084 0.425 0.250 As
0.259 0.259 0.752 As
0.165 0.835 0.500 Ce
0.500 0.500 0.500 Ce
0.835 0.165 0.500 Ce
0.667 0.333 0.000 Ho
0.333 0.667 0.000 Ho
0.000 0.000 0.000 La
```

[19]
Computed, not measured: La4CeHo3As8 after structural relaxation at the PBE level of DFT.

Summary:
As for the energy relative to the elements: -148 kJ/mol of atoms. The value obtained for the magnetic moment is 0.52 μB/cell. For the raw total energy, the calculation gives -6.316 eV/atom.

Geometry as POSCAR:
```
La4CeHo3As8
1.0
-7.378 -3.592 -2.232
4.211 -5.799 -4.590
1.881 1.095 8.221
As La Ho Ce
8 4 3 1
Direct
0.744 0.736 0.990 As
0.246 0.736 0.990 As
0.745 0.736 0.491 As
0.256 0.264 0.010 As
0.754 0.264 0.508 As
0.255 0.264 0.509 As
0.754 0.264 0.010 As
0.246 0.736 0.492 As
0.000 0.000 0.000 La
0.500 0.000 0.000 La
0.500 0.000 0.500 La
0.000 0.000 0.500 La
0.000 0.500 0.500 Ho
0.500 0.500 0.500 Ho
0.500 0.500 0.000 Ho
0.000 0.500 0.000 Ce
```

[20]
Computed, not measured: La2Ce3HoAs6 after structural relaxation at the PBE level of DFT.

Summary:
As for the energy relative to the elements: -143 kJ/mol of atoms. The value obtained for the magnetic moment is 2.05 μB/cell. For the raw total energy, the calculation gives -6.492 eV/atom.

Geometry as POSCAR:
```
La2Ce3HoAs6
1.0
4.254 0.000 0.000
0.000 8.509 0.303
-2.127 -2.451 8.940
As La Ce Ho
6 2 3 1
Direct
0.003 0.756 0.006 As
0.665 0.590 0.329 As
0.335 0.410 0.671 As
0.335 0.925 0.670 As
0.665 0.075 0.330 As
0.997 0.244 0.994 As
0.835 0.669 0.670 La
0.165 0.331 0.330 La
0.167 0.835 0.334 Ce
0.833 0.165 0.666 Ce
0.500 0.500 0.000 Ce
0.500 0.000 0.000 Ho
```

[21]
Computed, not measured: CeNdHo2As4 after structural relaxation at the PBE level of DFT.

Summary:
As for the energy relative to the elements: -144 kJ/mol of atoms. The value obtained for the magnetic moment is 0.58 μB/cell. For the raw total energy, the calculation gives -6.304 eV/atom.

Geometry as POSCAR:
```
CeNdHo2As4
1.0
-1.854 -3.735 -0.193
1.752 -1.225 6.890
-5.296 2.408 4.296
Ho As Ce Nd
2 4 1 1
Direct
0.000 0.000 0.000 Ho
0.500 0.000 0.500 Ho
0.500 0.757 0.250 As
0.500 0.243 0.750 As
0.000 0.242 0.256 As
0.000 0.758 0.744 As
0.000 0.500 0.500 Ce
0.500 0.500 0.000 Nd
```

[22]
Computed, not measured: CeNd3Ho2As6 after structural relaxation at the PBE level of DFT.

Summary:
As for the energy relative to the elements: -145 kJ/mol of atoms. The value obtained for the magnetic moment is 0.46 μB/cell. For the raw total energy, the calculation gives -6.278 eV/atom.

Geometry as POSCAR:
```
CeNd3Ho2As6
1.0
-7.177 -0.692 -0.979
3.120 -2.629 6.025
0.341 7.133 1.470
As Ce Nd Ho
6 1 3 2
Direct
0.415 0.080 0.241 As
0.745 0.745 0.240 As
0.255 0.255 0.760 As
0.080 0.415 0.241 As
0.920 0.585 0.759 As
0.585 0.920 0.759 As
0.000 0.000 0.000 Ce
0.500 0.500 0.500 Nd
0.834 0.166 0.500 Nd
0.166 0.834 0.500 Nd
0.667 0.333 0.000 Ho
0.333 0.667 0.000 Ho
```

[23]
Computed, not measured: Ce2NdHoAs4 after structural relaxation at the PBE level of DFT.

Summary:
As for the energy relative to the elements: -142 kJ/mol of atoms. The value obtained for the magnetic moment is 1.25 μB/cell. For the raw total energy, the calculation gives -6.448 eV/atom.

Geometry as POSCAR:
```
Ce2NdHoAs4
1.0
-1.398 3.395 2.045
-4.849 -4.117 3.521
2.957 -2.497 6.168
As Ce Nd Ho
4 2 1 1
Direct
0.000 0.752 0.744 As
0.500 0.748 0.256 As
0.000 0.248 0.256 As
0.500 0.252 0.744 As
0.000 0.000 0.000 Ce
0.500 0.000 0.500 Ce
0.500 0.500 0.000 Nd
0.000 0.500 0.500 Ho
```

[24]
Computed, not measured: CeNd2HoAs4 after structural relaxation at the PBE level of DFT.

Summary:
As for the energy relative to the elements: -144 kJ/mol of atoms. The value obtained for the magnetic moment is 0.52 μB/cell. For the raw total energy, the calculation gives -6.326 eV/atom.

Geometry as POSCAR:
```
CeNd2HoAs4
1.0
-1.914 1.550 3.420
-2.049 -6.729 1.903
6.507 1.486 2.967
As Ce Nd Ho
4 1 2 1
Direct
0.000 0.749 0.242 As
0.000 0.251 0.758 As
0.500 0.246 0.240 As
0.500 0.754 0.760 As
0.500 0.500 0.000 Ce
0.000 0.500 0.500 Nd
0.500 0.000 0.500 Nd
0.000 0.000 0.000 Ho
```